The following is a GGA-PBE calculation of a relaxed Er2GeO6 crystal, from Alexandria.

CIF file:
```
data_Er2GeO6
_cell_length_a 4.922
_cell_length_b 4.922
_cell_length_c 9.896
_cell_angle_alpha 90.00
_cell_angle_beta 90.00
_cell_angle_gamma 90.00
_symmetry_space_group_name_H-M 'P 42/m n m'
_symmetry_Int_Tables_number 136
_symmetry_space_group_name_Hall '-P 4n 2n'
loop_
_atom_site_label
_atom_site_fract_x
_atom_site_fract_y
_atom_site_fract_z
Er1 0.000 0.000 0.171
Ge1 0.000 0.000 0.500
O1 0.185 0.185 0.357
O2 0.224 0.224 0.000
```

## Properties
Formation energy without anion corrections: -2.306 eV/atom
Fermi-level density of states: 10.659 states/eV/cell
Total magnetization: 4.05 Bohr magnetons per cell